Here is SrCaP2Pt4 after structural relaxation from Alexandria. Energies are from PBE.

Lattice parameters (Å, degrees): 4.1017 4.1017 10.1003 90.00 90.00 90.00
Space group P4/mmm (No. 123)
Inequivalent atoms, fractional coordinates:
Sr: 0.0000 0.0000 0.0000 [1 per cell]
Ca: 0.0000 0.0000 0.5000 [1 per cell]
P: 0.5000 0.5000 0.1671 [2 per cell]
Pt: 0.0000 0.5000 0.2756 [4 per cell]

**D(E_F)**: 5.50 states/eV/cell
**Calculated volume**: 170 Å³ per cell
**Total moment**: 0.00 μB/cell
**Final energy**: -44.97 eV/cell